[1]
Density functional theory data (PBE) for crystalline Ba3SbO at its relaxed geometry.

Cell: 5.3475 5.3570 14.9165 Å, 111.57 100.38 90.00°
With the nearest neighbours (Å) after each atom.
Fractional positions:
1 Ba 0.8048 0.8615 0.1080  1 O 2.59
2 Ba 0.1952 0.1385 0.8920  1 O 2.59
3 Ba 0.0800 0.4044 0.6632  2 O 2.73
4 Ba 0.9200 0.5956 0.3368  2 O 2.73
5 Ba 0.4179 0.0911 0.3328  2 O 2.71
6 Ba 0.5821 0.9089 0.6672  2 O 2.71
7 Sb 0.3311 0.4150 0.1599  9 Ba 3.56-3.85
8 Sb 0.6689 0.5850 0.8401  9 Ba 3.56-3.85
9 O 0.0994 0.9433 0.7015  5 Ba 2.59-2.73
10 O 0.9006 0.0567 0.2985  5 Ba 2.59-2.73

Formation energy from raw total energies (eV/atom): -1.50
Energy above the lowest structure with this stoichiometry (eV per atom): 0.000
Crystal system: triclinic
SG: No. 2

[2]
Density functional theory data (PBE) for crystalline Tl7Hg12Te at its relaxed geometry.

Cell: 8.4671 8.4671 8.4671 Å, 94.52 94.52 94.52°
With the nearest neighbours (Å) after each atom.
Fractional positions:
1 Tl 0.3865 0.1673 0.0618  4 Hg 3.23-3.44, 1 Te 3.45, 2 Tl 3.57
2 Tl 0.9382 0.6135 0.8327  4 Hg 3.23-3.44, 1 Te 3.45, 2 Tl 3.57
3 Tl 0.8327 0.9382 0.6135  4 Hg 3.23-3.44, 1 Te 3.45, 2 Tl 3.57
4 Tl 0.5000 0.5000 0.5000  6 Hg 3.22
5 Tl 0.1673 0.0618 0.3865  4 Hg 3.23-3.44, 1 Te 3.45, 2 Tl 3.57
6 Tl 0.0618 0.3865 0.1673  4 Hg 3.23-3.44, 1 Te 3.45, 2 Tl 3.57
7 Tl 0.6135 0.8327 0.9382  4 Hg 3.23-3.44, 1 Te 3.45, 2 Tl 3.57
8 Hg 0.7241 0.1098 0.2434  2 Hg 3.02-3.14, 2 Tl 3.23-3.37, 1 Te 3.37
9 Hg 0.7566 0.2759 0.8902  2 Hg 3.02-3.14, 2 Tl 3.23-3.37, 1 Te 3.37
10 Hg 0.8481 0.3717 0.4960  3 Hg 3.02-3.23, 2 Tl 3.22-3.38
11 Hg 0.5040 0.1519 0.6283  3 Hg 3.02-3.23, 2 Tl 3.22-3.38
12 Hg 0.8902 0.7566 0.2759  2 Hg 3.02-3.14, 2 Tl 3.23-3.37, 1 Te 3.37
13 Hg 0.6283 0.5040 0.1519  3 Hg 3.02-3.23, 2 Tl 3.22-3.38
14 Hg 0.3717 0.4960 0.8481  3 Hg 3.02-3.23, 2 Tl 3.22-3.38
15 Hg 0.1098 0.2434 0.7241  2 Hg 3.02-3.14, 2 Tl 3.23-3.37, 1 Te 3.37
16 Hg 0.4960 0.8481 0.3717  3 Hg 3.02-3.23, 2 Tl 3.22-3.38
17 Hg 0.1519 0.6283 0.5040  3 Hg 3.02-3.23, 2 Tl 3.22-3.38
18 Hg 0.2434 0.7241 0.1098  2 Hg 3.02-3.14, 2 Tl 3.23-3.37, 1 Te 3.37
19 Hg 0.2759 0.8902 0.7566  2 Hg 3.02-3.14, 2 Tl 3.23-3.37, 1 Te 3.37
20 Te 0.0000 0.0000 0.0000  6 Hg 3.37, 6 Tl 3.45

Formation energy from raw total energies (eV/atom): -0.01
Crystal system: trigonal
SG: No. 148

[3]
Density functional theory data (PBE) for crystalline CsGa2Sn2 at its relaxed geometry.

Cell: 5.1412 5.1412 6.7419 Å, 67.59 67.59 90.00°
With the nearest neighbours (Å) after each atom.
Fractional positions:
1 Cs 0.0000 0.0000 0.0000  8 Ga 3.83, 10 Sn 3.93-4.18
2 Sn 0.3677 0.3677 0.2647  4 Ga 2.90, 1 Sn 3.01
3 Sn 0.6323 0.6323 0.7353  4 Ga 2.90, 1 Sn 3.01
4 Ga 0.7500 0.2500 0.5000  4 Sn 2.90
5 Ga 0.2500 0.7500 0.5000  4 Sn 2.90

Formation energy (eV per atom): -0.159
Energy above the lowest structure with this stoichiometry (eV per atom): 0.000
Crystal system: tetragonal
SG: No. 139

[4]
Density functional theory data (PBE) for crystalline AcPr8Dy2 at its relaxed geometry.

Cell: 5.6960 8.6479 9.6735 Å, 116.55 107.12 90.00°
With the nearest neighbours (Å) after each atom.
Fractional positions:
1 Ac 0.5000 0.0000 0.0000  12 Pr 3.50-3.87
2 Pr 0.6452 0.8473 0.2903  3 Dy 3.46-3.61, 6 Pr 3.50-3.85, 1 Ac 3.50
3 Pr 0.3549 0.5570 0.7097  3 Dy 3.46-3.61, 6 Pr 3.50-3.85, 1 Ac 3.50
4 Pr 0.1601 0.1602 0.3203  8 Pr 3.63-3.85, 2 Dy 3.65, 2 Ac 3.87
5 Pr 0.0000 0.2976 0.0000  7 Pr 3.50-3.71, 2 Dy 3.72, 2 Ac 3.84
6 Pr 0.8399 0.8398 0.6797  8 Pr 3.63-3.85, 2 Dy 3.65, 2 Ac 3.87
7 Pr 0.6451 0.4430 0.2903  3 Dy 3.46-3.61, 6 Pr 3.50-3.85, 1 Ac 3.50
8 Pr 0.3548 0.1527 0.7097  3 Dy 3.46-3.61, 6 Pr 3.50-3.85, 1 Ac 3.50
9 Pr 0.0000 0.7024 0.0000  7 Pr 3.50-3.71, 2 Dy 3.72, 2 Ac 3.84
10 Dy 0.2005 0.7005 0.4011  10 Pr 3.46-3.72
11 Dy 0.7995 0.2995 0.5989  10 Pr 3.46-3.72

Formation energy (eV per atom): 0.114
Energy above the lowest structure with this stoichiometry (eV per atom): 0.000
Crystal system: orthorhombic
SG: No. 71

[5]
Density functional theory data (PBE) for crystalline UCd3Pt12 at its relaxed geometry.

Cell: 4.0891 4.0891 16.1143 Å, 90.00 90.00 90.00°
With the nearest neighbours (Å) after each atom.
Fractional positions:
1 U 0.0000 0.0000 0.0000  12 Pt 2.86-2.89
2 Cd 0.0000 0.0000 0.2542  12 Pt 2.84-2.93
3 Cd 0.0000 0.0000 0.5000  12 Pt 2.85-2.89
4 Cd 0.0000 0.0000 0.7458  12 Pt 2.84-2.93
5 Pt 0.5000 0.5000 0.0000  8 Pt 2.86, 4 U 2.89
6 Pt 0.5000 0.5000 0.2525  8 Pt 2.86-2.91, 4 Cd 2.89
7 Pt 0.5000 0.5000 0.5000  8 Pt 2.85, 4 Cd 2.89
8 Pt 0.5000 0.5000 0.7475  8 Pt 2.86-2.91, 4 Cd 2.89
9 Pt 0.5000 0.0000 0.1238  8 Pt 2.86-2.91, 2 U 2.86, 2 Cd 2.93
10 Pt 0.5000 0.0000 0.3769  4 Cd 2.84-2.85, 8 Pt 2.85-2.89
11 Pt 0.5000 0.0000 0.6231  4 Cd 2.84-2.85, 8 Pt 2.85-2.89
12 Pt 0.5000 0.0000 0.8762  2 U 2.86, 8 Pt 2.86-2.91, 2 Cd 2.93
13 Pt 0.0000 0.5000 0.1238  8 Pt 2.86-2.91, 2 U 2.86, 2 Cd 2.93
14 Pt 0.0000 0.5000 0.3769  4 Cd 2.84-2.85, 8 Pt 2.85-2.89
15 Pt 0.0000 0.5000 0.6231  4 Cd 2.84-2.85, 8 Pt 2.85-2.89
16 Pt 0.0000 0.5000 0.8762  2 U 2.86, 8 Pt 2.86-2.91, 2 Cd 2.93

Formation energy (eV per atom): -0.362
Crystal system: tetragonal
SG: No. 123

[6]
Density functional theory data (PBE) for crystalline Li3AlIn3O8 at its relaxed geometry.

Cell: 6.3138 6.3137 6.1560 Å, 120.86 90.00 120.00°
With the nearest neighbours (Å) after each atom.
Fractional positions:
1 Li 0.0000 0.0000 0.0000  6 O 2.22
2 Li 0.0000 0.5000 0.0000  6 O 2.22
3 Li 0.5000 0.5000 0.0000  6 O 2.22
4 Al 0.0000 0.0000 0.5000  6 O 1.95
5 In 0.5000 0.0000 0.5000  6 O 2.19-2.21
6 In 0.5000 0.5000 0.5000  6 O 2.19-2.21
7 In 0.0000 0.5000 0.5000  6 O 2.19-2.21
8 O 0.2519 0.5039 0.2559  3 In 2.19, 3 Li 2.22
9 O 0.7481 0.4961 0.7441  3 In 2.19, 3 Li 2.22
10 O 0.7789 0.5579 0.2815  1 Al 1.95
11 O 0.2211 0.4421 0.7185  1 Al 1.95
12 O 0.7789 0.0025 0.2815  1 Al 1.95
13 O 0.2211 0.9975 0.7185  1 Al 1.95
14 O 0.2236 0.0025 0.2815  1 Al 1.95
15 O 0.7764 0.9975 0.7185  1 Al 1.95

Formation energy from raw total energies (eV/atom): -1.78
Crystal system: trigonal
SG: No. 166